1.
The following is a DFT calculation (SCAN) of a crystal of TcSbI2O relaxed with PBEsol.

```
5
Lattice="5.310 0.000 0.000 0.000 5.310 0.000 0.000 0.000 5.093" Properties=species:S:1:pos:R:3 pbc="T T T"
Tc 0.000 0.000 0.000
Sb 0.000 0.000 2.546
I 0.000 2.655 0.000
I 2.655 0.000 0.000
O 2.655 2.655 2.546
```

## Properties
- energy relative to the lowest polymorph listed for this composition (meV per atom) = 0
- formation energy without anion corrections (eV per atom) = 0.84
- DOS(E_F) (states/eV/cell) = 4.9
- magnetic moment (μB/cell) = 0.82
- SG = No. 123

2.
The following is a DFT calculation (SCAN) of a crystal of K2SiW relaxed with PBEsol.

```
4
Lattice="3.431 0.000 0.000 0.000 3.431 0.000 0.000 0.000 10.216" Properties=species:S:1:pos:R:3 pbc="T T T"
K 0.000 0.000 0.000
K 1.716 1.716 4.192
Si 0.000 0.000 7.059
W 1.716 1.716 7.438
```

## Properties
- formation energy without anion corrections (eV per atom) = 0.62
- DOS(E_F) (states/eV/cell) = 2.6
- magnetic moment (μB/cell) = 0.04
- SG = No. 99

3.
The following is a DFT calculation (SCAN) of a crystal of K2CaIn2 relaxed with PBEsol.

```
5
Lattice="-2.332 2.332 8.238 2.332 -2.332 8.238 2.332 2.332 -8.238" Properties=species:S:1:pos:R:3 pbc="T T T"
K 2.332 0.000 4.119
K 0.000 2.332 4.119
Ca 0.000 0.000 0.000
In 0.000 0.000 6.806
In 0.000 0.000 9.670
```

## Properties
- formation energy from the elements (meV per atom) = -83
- DOS(E_F) (states/eV/cell) = 3.4
- magnetic moment (μB/cell) = 0.00
- SG = No. 139

4.
The following is a DFT calculation (SCAN) of a crystal of BeAl2W relaxed with PBEsol.

```
4
Lattice="-1.803 1.803 4.078 1.803 -1.803 4.078 1.803 1.803 -4.078" Properties=species:S:1:pos:R:3 pbc="T T T"
Be 0.000 0.000 0.000
Al 1.803 0.000 2.039
Al 0.000 1.803 2.039
W 0.000 0.000 4.078
```

## Properties
- formation energy from the elements (meV per atom) = -159
- DOS(E_F) (states/eV/cell) = 0.2
- magnetic moment (μB/cell) = 0.00
- SG = No. 139

5.
The following is a DFT calculation (SCAN) of a crystal of Sc2AlAg relaxed with PBEsol.

```
4
Lattice="1.593 0.920 9.097 -1.593 0.920 9.097 0.000 -1.839 9.097" Properties=species:S:1:pos:R:3 pbc="T T T"
Sc 0.000 0.000 6.797
Sc 0.000 0.000 20.494
Al 0.000 0.000 13.645
Ag 0.000 0.000 0.000
```

## Properties
- formation energy from the elements (meV per atom) = -143
- DOS(E_F) (states/eV/cell) = 3.8
- magnetic moment (μB/cell) = 0.00
- SG = No. 166

6.
The following is a DFT calculation (SCAN) of a crystal of Al2ZnBr relaxed with PBEsol.

```
4
Lattice="5.408 -1.555 0.000 5.408 1.555 0.000 -2.709 0.000 4.702" Properties=species:S:1:pos:R:3 pbc="T T T"
Al 0.000 0.000 0.000
Al 0.094 0.000 4.386
Zn 5.277 0.000 2.174
Br 2.655 0.000 2.368
```

## Properties
- energy relative to the lowest polymorph listed for this composition (meV per atom) = 6
- formation energy without anion corrections (eV per atom) = 0.14
- DOS(E_F) (states/eV/cell) = 1.1
- magnetic moment (μB/cell) = 0.00
- SG = No. 8

7.
The following is a DFT calculation (SCAN) of a crystal of SrCdCo2 relaxed with PBEsol.

```
4
Lattice="2.042 1.179 5.730 -2.042 1.179 5.730 0.000 -2.358 5.730" Properties=species:S:1:pos:R:3 pbc="T T T"
Sr 0.000 0.000 0.000
Cd 0.000 0.000 3.338
Co 0.000 0.000 7.915
Co 0.000 0.000 13.626
```

## Properties
- formation energy from the elements (meV per atom) = 165
- DOS(E_F) (states/eV/cell) = 1.6
- magnetic moment (μB/cell) = 2.87
- SG = No. 160

8.
The following is a DFT calculation (SCAN) of a crystal of BaGe3Au relaxed with PBEsol.

```
5
Lattice="-2.325 2.325 5.122 2.325 -2.325 5.122 2.325 2.325 -5.122" Properties=species:S:1:pos:R:3 pbc="T T T"
Ba 0.000 0.000 0.000
Ge 2.325 0.000 2.513
Ge 0.000 0.000 6.292
Ge 0.000 2.325 2.513
Au 0.000 0.000 3.692
```

## Properties
- formation energy from the elements (meV per atom) = -565
- DOS(E_F) (states/eV/cell) = 1.1
- magnetic moment (μB/cell) = 0.00
- SG = No. 107

9.
The following is a DFT calculation (SCAN) of a crystal of RbNa2Cr relaxed with PBEsol.

```
8
Lattice="-4.778 4.778 3.606 4.778 -4.778 3.606 4.778 4.778 -3.606" Properties=species:S:1:pos:R:3 pbc="T T T"
Rb 0.000 0.000 0.000
Rb 0.000 4.778 1.803
Na 2.389 2.952 -0.902
Na 6.604 2.389 0.902
Na 2.389 1.826 2.705
Na -1.826 2.389 4.508
Cr 4.778 0.000 1.803
Cr 0.000 0.000 3.606
```

## Properties
- formation energy from the elements (meV per atom) = 532
- DOS(E_F) (states/eV/cell) = 3.6
- magnetic moment (μB/cell) = 10.89
- SG = No. 122

10.
The following is a DFT calculation (SCAN) of a crystal of Li2La2Tl relaxed with PBEsol.

```
10
Lattice="6.982 0.000 0.000 0.000 6.982 0.000 0.000 0.000 5.118" Properties=species:S:1:pos:R:3 pbc="T T T"
Li 0.928 2.563 0.000
Li 2.563 6.054 0.000
Li 4.419 0.928 0.000
Li 6.054 4.419 0.000
La 1.261 4.752 2.559
La 2.231 1.261 2.559
La 4.752 5.722 2.559
La 5.722 2.231 2.559
Tl 0.000 0.000 0.000
Tl 3.491 3.491 0.000
```

## Properties
- formation energy from the elements (meV per atom) = -266
- DOS(E_F) (states/eV/cell) = 8.2
- magnetic moment (μB/cell) = 0.00
- SG = No. 127

11.
The following is a DFT calculation (SCAN) of a crystal of YAs2RhPb relaxed with PBEsol.

```
5
Lattice="4.725 0.000 0.000 0.000 4.725 0.000 0.000 0.000 5.252" Properties=species:S:1:pos:R:3 pbc="T T T"
Y 0.000 0.000 0.000
As 0.000 2.363 2.626
As 2.363 0.000 2.626
Rh 0.000 0.000 2.626
Pb 2.363 2.363 0.000
```

## Properties
- formation energy from the elements (meV per atom) = -265
- DOS(E_F) (states/eV/cell) = 2.7
- magnetic moment (μB/cell) = 0.00
- SG = No. 123

12.
The following is a DFT calculation (SCAN) of a crystal of ZrCdAg2 relaxed with PBEsol.

```
4
Lattice="4.844 -1.438 0.000 4.844 1.438 0.000 -0.782 0.000 5.337" Properties=species:S:1:pos:R:3 pbc="T T T"
Zr 0.000 0.000 0.000
Cd 7.085 0.000 1.548
Ag 1.801 0.000 4.099
Ag 4.479 0.000 2.717
```

## Properties
- formation energy from the elements (meV per atom) = 2
- DOS(E_F) (states/eV/cell) = 2.2
- magnetic moment (μB/cell) = 0.00
- SG = No. 8